DFT (GGA-PBE) results for an optimized crystal structure of ThPt.

Properties
Fermi-level density of states	2.63	states/eV/cell
total magnetization	0.00	μB/f.u.
VASP energy	-31.8	eV for the cell shown
formation enthalpy at 0 K	-1.22	eV per atom
crystal system	monoclinic

a b c (Å): 3.932 4.476 5.964
angles (deg): 90.00 109.18 90.00
Sites, in units of the cell vectors:
Th  0.137  0.250  0.273
Th  0.863  0.750  0.727
Pt  0.404  0.250  0.808
Pt  0.596  0.750  0.192

DFT (GGA-PBE) results for an optimized crystal structure of Th3Pt5.

Properties
Fermi-level density of states	2.72	states/eV/cell
total magnetization	0.00	μB/f.u.
VASP energy	-59.1	eV for the cell shown
formation enthalpy at 0 K	-0.84	eV per atom
crystal system	hexagonal
ΔE to the lowest computed polymorph	415	meV/atom

a b c (Å): 7.703 7.703 3.578
angles (deg): 90.00 90.00 120.00
Sites, in units of the cell vectors:
Th  0.000  0.277  0.000
Th  0.277  0.000  0.000
Th  0.723  0.723  0.000
Pt  0.000  0.660  0.500
Pt  0.333  0.667  0.000
Pt  0.340  0.340  0.500
Pt  0.660  0.000  0.500
Pt  0.667  0.333  0.000

DFT (GGA-PBE) results for an optimized crystal structure of ThPt2.

Properties
Fermi-level density of states	1.82	states/eV/cell
total magnetization	0.00	μB/f.u.
VASP energy	-45.5	eV for the cell shown
formation enthalpy at 0 K	-1.08	eV per atom
crystal system	tetragonal

a b c (Å): 3.797 3.797 8.960
angles (deg): 90.00 90.00 90.00
Sites, in units of the cell vectors:
Th  0.000  0.000  0.000
Th  0.500  0.500  0.500
Pt  0.000  0.000  0.338
Pt  0.000  0.000  0.662
Pt  0.500  0.500  0.162
Pt  0.500  0.500  0.838

DFT (GGA-PBE) results for an optimized crystal structure of ThPt2.

Properties
Fermi-level density of states	3.14	states/eV/cell
total magnetization	0.00	μB/f.u.
VASP energy	-93.1	eV for the cell shown
formation enthalpy at 0 K	-1.25	eV per atom
crystal system	tetragonal

a b c (Å): 4.195 4.195 14.514
angles (deg): 90.00 90.00 90.00
Sites, in units of the cell vectors:
Th  0.000  0.000  0.156
Th  0.000  0.000  0.844
Th  0.500  0.500  0.344
Th  0.500  0.500  0.656
Pt  0.000  0.000  0.363
Pt  0.000  0.000  0.637
Pt  0.000  0.500  0.000
Pt  0.000  0.500  0.500
Pt  0.500  0.000  0.000
Pt  0.500  0.000  0.500
Pt  0.500  0.500  0.137
Pt  0.500  0.500  0.863

DFT (GGA-PBE) results for an optimized crystal structure of ThPt.

Properties
Fermi-level density of states	12.14	states/eV/cell
total magnetization	0.00	μB/f.u.
VASP energy	-90.5	eV for the cell shown
formation enthalpy at 0 K	-0.81	eV per atom
crystal system	trigonal

a b c (Å): 4.873 4.873 17.848
angles (deg): 90.00 90.00 120.00
Sites, in units of the cell vectors:
Th  0.000  0.000  0.240
Th  0.000  0.000  0.760
Th  0.333  0.667  0.427
Th  0.333  0.667  0.906
Th  0.667  0.333  0.094
Th  0.667  0.333  0.573
Pt  0.000  0.000  0.075
Pt  0.000  0.000  0.925
Pt  0.333  0.667  0.592
Pt  0.333  0.667  0.742
Pt  0.667  0.333  0.258
Pt  0.667  0.333  0.408

DFT (GGA-PBE) results for an optimized crystal structure of ThPt5.

Properties
Fermi-level density of states	5.68	states/eV/cell
total magnetization	0.00	μB/f.u.
VASP energy	-83.2	eV for the cell shown
formation enthalpy at 0 K	-0.66	eV per atom
crystal system	monoclinic

a b c (Å): 5.100 9.080 4.980
angles (deg): 90.00 109.72 90.00
Sites, in units of the cell vectors:
Th  0.000  0.000  0.000
Th  0.500  0.500  0.000
Pt  0.000  0.182  0.500
Pt  0.000  0.336  0.000
Pt  0.000  0.500  0.500
Pt  0.000  0.664  0.000
Pt  0.000  0.818  0.500
Pt  0.500  0.000  0.500
Pt  0.500  0.164  0.000
Pt  0.500  0.318  0.500
Pt  0.500  0.682  0.500
Pt  0.500  0.836  0.000

DFT (GGA-PBE) results for an optimized crystal structure of ThPt12.

Properties
Fermi-level density of states	13.01	states/eV/cell
total magnetization	0.00	μB/f.u.
VASP energy	-84.2	eV for the cell shown
formation enthalpy at 0 K	-0.33	eV per atom
crystal system	tetragonal

a b c (Å): 6.974 6.974 6.974
angles (deg): 98.75 98.75 134.09
Sites, in units of the cell vectors:
Th  0.000  0.000  0.000
Pt  0.000  0.000  0.500
Pt  0.000  0.343  0.343
Pt  0.000  0.500  0.000
Pt  0.000  0.657  0.657
Pt  0.284  0.500  0.784
Pt  0.343  0.000  0.343
Pt  0.500  0.000  0.000
Pt  0.500  0.284  0.784
Pt  0.500  0.500  0.500
Pt  0.500  0.716  0.216
Pt  0.657  0.000  0.657
Pt  0.716  0.500  0.216

DFT (GGA-PBE) results for an optimized crystal structure of Th5Pt.

Properties
Fermi-level density of states	16.56	states/eV/cell
total magnetization	0.00	μB/f.u.
VASP energy	-87.8	eV for the cell shown
formation enthalpy at 0 K	-0.12	eV per atom
crystal system	orthorhombic

a b c (Å): 4.801 14.822 4.870
angles (deg): 90.00 90.00 90.00
Sites, in units of the cell vectors:
Th  0.000  0.000  0.000
Th  0.000  0.162  0.500
Th  0.000  0.341  0.000
Th  0.000  0.659  0.000
Th  0.000  0.838  0.500
Th  0.500  0.159  0.000
Th  0.500  0.338  0.500
Th  0.500  0.500  0.000
Th  0.500  0.662  0.500
Th  0.500  0.841  0.000
Pt  0.000  0.500  0.500
Pt  0.500  0.000  0.500

DFT (GGA-PBE) results for an optimized crystal structure of ThPt6.

Properties
Fermi-level density of states	15.40	states/eV/cell
total magnetization	1.00	μB/f.u.
VASP energy	-35.4	eV for the cell shown
formation enthalpy at 0 K	1.18	eV per atom
crystal system	cubic
ΔE to the lowest computed polymorph	1835	meV/atom

a b c (Å): 6.032 6.032 6.032
angles (deg): 90.00 90.00 90.00
Sites, in units of the cell vectors:
Th  0.000  0.000  0.000
Pt  0.195  0.500  0.500
Pt  0.500  0.195  0.500
Pt  0.500  0.500  0.195
Pt  0.500  0.500  0.805
Pt  0.500  0.805  0.500
Pt  0.805  0.500  0.500

DFT (GGA-PBE) results for an optimized crystal structure of ThPt6.

Properties
Fermi-level density of states	15.01	states/eV/cell
total magnetization	0.00	μB/f.u.
VASP energy	-96.5	eV for the cell shown
formation enthalpy at 0 K	-0.66	eV per atom
crystal system	orthorhombic
ΔE to the lowest computed polymorph	0	meV/atom

a b c (Å): 6.826 6.826 5.420
angles (deg): 90.00 90.00 90.24
Sites, in units of the cell vectors:
Th  0.242  0.758  0.750
Th  0.758  0.242  0.250
Pt  0.052  0.545  0.250
Pt  0.056  0.944  0.250
Pt  0.248  0.248  0.000
Pt  0.248  0.248  0.500
Pt  0.455  0.948  0.250
Pt  0.465  0.535  0.250
Pt  0.535  0.465  0.750
Pt  0.545  0.052  0.750
Pt  0.752  0.752  0.000
Pt  0.752  0.752  0.500
Pt  0.944  0.056  0.750
Pt  0.948  0.455  0.750

DFT (GGA-PBE) results for an optimized crystal structure of Th3Pt.

Properties
Fermi-level density of states	9.84	states/eV/cell
total magnetization	0.00	μB/f.u.
VASP energy	-60.8	eV for the cell shown
formation enthalpy at 0 K	-0.52	eV per atom
crystal system	orthorhombic

a b c (Å): 3.659 10.510 5.976
angles (deg): 90.00 90.00 90.00
Sites, in units of the cell vectors:
Th  0.000  0.000  0.000
Th  0.000  0.206  0.551
Th  0.000  0.794  0.551
Th  0.500  0.294  0.051
Th  0.500  0.500  0.500
Th  0.500  0.706  0.051
Pt  0.000  0.500  0.891
Pt  0.500  0.000  0.391

DFT (GGA-PBE) results for an optimized crystal structure of ThTi2Pt9.

Properties
Fermi-level density of states	1.69	states/eV/cell
total magnetization	0.00	μB/f.u.
VASP energy	-88.5	eV for the cell shown
formation enthalpy at 0 K	-0.91	eV per atom
crystal system	tetragonal

a b c (Å): 4.063 4.063 12.055
angles (deg): 90.00 90.00 90.00
Sites, in units of the cell vectors:
Th  0.000  0.000  0.000
Ti  0.000  0.000  0.340
Ti  0.000  0.000  0.660
Pt  0.000  0.500  0.184
Pt  0.000  0.500  0.500
Pt  0.000  0.500  0.816
Pt  0.500  0.000  0.184
Pt  0.500  0.000  0.500
Pt  0.500  0.000  0.816
Pt  0.500  0.500  0.000
Pt  0.500  0.500  0.342
Pt  0.500  0.500  0.658